No. 1
A plane-wave DFT calculation with PBE was carried out for a geometry-optimized MgBe2Cd structure.

Calculated values
Symmetry: R3m, No. 160
Spin magnetization: 0.0 μB per formula unit
E_form: 0.43 eV per atom
Relative energy among the computed polymorphs: 142 meV/atom
DOS at the Fermi energy: 0.0832 states/eV/atom

Lattice parameters (Å, degrees): 8.7252 8.7252 8.7252 19.16 19.16 19.16
Fractional coordinates of all 4 atoms:
Be 0.9886 0.9886 0.9886
Be 0.2639 0.2639 0.2639
Mg 0.7367 0.7367 0.7367
Cd 0.5108 0.5108 0.5108

***

No. 2
A plane-wave DFT calculation with PBE was carried out for a geometry-optimized Dy4YEr2Tm2 structure.

Calculated values
Symmetry: C2/m, No. 12
Spin magnetization: 0.0 μB per formula unit
E_form: 0.03 eV per atom
DOS at the Fermi energy: 1.3493 states/eV/atom

Lattice parameters (Å, degrees): 3.5566 8.6868 9.5118 101.31 90.00 101.81
Fractional coordinates of all 9 atoms:
Dy 0.5172 0.0343 0.3271
Dy 0.4828 0.9657 0.6729
Dy 0.1793 0.3586 0.2447
Dy 0.8207 0.6414 0.7553
Y 0.0000 0.0000 0.0000
Er 0.8495 0.6991 0.4056
Er 0.1505 0.3009 0.5944
Tm 0.3355 0.6709 0.0767
Tm 0.6645 0.3291 0.9233

***

No. 3
A plane-wave DFT calculation with PBE was carried out for a geometry-optimized La3TmZn2 structure.

Calculated values
Symmetry: P4/mmm, No. 123
Spin magnetization: 0.0 μB per formula unit
E_form: -0.18 eV per atom
Relative energy among the computed polymorphs: 22 meV/atom
DOS at the Fermi energy: 1.2411 states/eV/atom

Lattice parameters (Å, degrees): 3.7704 3.7704 12.2946 90.00 90.00 90.00
Fractional coordinates of all 6 atoms:
La 0.0000 0.0000 0.0000
La 0.0000 0.0000 0.3002
La 0.0000 0.0000 0.6998
Tm 0.5000 0.5000 0.5000
Zn 0.5000 0.5000 0.8460
Zn 0.5000 0.5000 0.1540

***

No. 4
A plane-wave DFT calculation with PBE was carried out for a geometry-optimized In2NiSb structure.

Calculated values
Symmetry: Cmmm, No. 65
Formation energy (no corrections): 286.4 meV/atom
Spin magnetization: 0.0 μB per formula unit
DOS at the Fermi energy: 0.6693 states/eV/atom

Lattice parameters (Å, degrees): 4.9840 4.9840 3.8365 90.00 90.00 110.72
Fractional coordinates of all 4 atoms:
In 0.0000 0.0000 0.0000
In 0.5000 0.5000 0.0000
Sb 0.0000 0.5000 0.5000
Ni 0.5000 0.0000 0.5000

***

No. 5
A plane-wave DFT calculation with PBE was carried out for a geometry-optimized AsS2BrCl structure.

Calculated values
Symmetry: P4/mmm, No. 123
Formation energy (no corrections): 495.5 meV/atom
Spin magnetization: 1.6 μB per formula unit
Relative energy among the computed polymorphs: 0 meV/atom
DOS at the Fermi energy: 1.1834 states/eV/atom

Lattice parameters (Å, degrees): 4.8957 4.8957 4.8757 90.00 90.00 90.00
Fractional coordinates of all 5 atoms:
As 0.0000 0.0000 0.0000
S 0.5000 0.0000 0.0000
S 0.0000 0.5000 0.0000
Cl 0.0000 0.0000 0.5000
Br 0.5000 0.5000 0.5000

***

No. 6
A plane-wave DFT calculation with PBE was carried out for a geometry-optimized Y2MnCdN structure.

Calculated values
Symmetry: P4/mmm, No. 123
Formation energy (no corrections): -665.5 meV/atom
Spin magnetization: 0.0 μB per formula unit
DOS at the Fermi energy: 0.4705 states/eV/atom

Lattice parameters (Å, degrees): 5.0028 5.0028 3.7033 90.00 90.00 90.00
Fractional coordinates of all 5 atoms:
Cd 0.5000 0.5000 0.5000
Y 0.5000 0.0000 0.0000
Y 0.0000 0.5000 0.0000
Mn 0.0000 0.0000 0.5000
N 0.0000 0.0000 0.0000

***

Total energy readings, ordered: -0.151 -0.349 -0.281 -0.262 -0.205 -0.510 Ry/atom